# BaCeCuSe3 (PBE, optimized geometry)
data_BaCeCuSe3
_cell_length_a 9.048
_cell_length_b 4.248
_cell_length_c 9.328
_cell_angle_alpha 90.00
_cell_angle_beta 103.92
_cell_angle_gamma 90.00
_space_group_name_H-M_alt 'P 1'
_space_group_IT_number 1
loop_
_space_group_symop_operation_xyz
'x,y,z'
loop_
_atom_site_label
_atom_site_fract_x
_atom_site_fract_y
_atom_site_fract_z
Ba1 0.185 0.250 0.238
Ba2 0.815 0.750 0.762
Ce1 0.328 0.750 0.834
Ce2 0.672 0.250 0.166
Cu1 0.082 0.250 0.590
Cu2 0.918 0.750 0.410
Se1 0.108 0.250 0.861
Se2 0.202 0.750 0.516
Se3 0.440 0.750 0.165
Se4 0.560 0.250 0.835
Se5 0.798 0.250 0.484
Se6 0.892 0.750 0.139
# M_tot   0.97 μB per formula unit
# Formation energy (no corrections)   -9.08 eV per formula unit